No. 1
5
Lattice="4.928 0.000 0.000 0.000 4.928 0.000 0.000 0.000 4.510" Properties=species:S:1:pos:R:3 comment="Ca2MgAgH, relaxed, DFT PBE-GGA" magnetic_moment_mub_per_cell=0.00 final_energy_ev_per_cell=-12.6 rho_g_cm3=3.23 crystal_system=tetragonal vol_a3_per_atom=21.9 sg="P4/mmm, No. 123" pbc="T T T"
Ca 0.000 2.464 0.000
Ca 2.464 0.000 0.000
Mg 0.000 0.000 2.255
Ag 2.464 2.464 2.255
H 2.464 2.464 0.000

***

No. 2
5
Lattice="5.180 0.000 0.000 0.000 5.180 0.000 0.000 0.000 5.180" Properties=species:S:1:pos:R:3 comment="CdHg3F, relaxed, DFT PBE-GGA" magnetic_moment_mub_per_cell=0.00 final_energy_ev_per_cell=-4.5 rho_g_cm3=8.76 crystal_system=cubic vol_a3_per_atom=27.8 sg="Pm-3m, No. 221" pbc="T T T"
Cd 0.000 0.000 0.000
Hg 0.000 2.590 2.590
Hg 2.590 0.000 2.590
Hg 2.590 2.590 0.000
F 2.590 2.590 2.590

***

No. 3
5
Lattice="5.127 0.000 0.000 0.000 5.127 0.000 0.000 0.000 5.127" Properties=species:S:1:pos:R:3 comment="NiPdBr3, relaxed, DFT PBE-GGA" magnetic_moment_mub_per_cell=1.17 final_energy_ev_per_cell=-13.8 rho_g_cm3=4.99 crystal_system=cubic vol_a3_per_atom=27.0 sg="Pm-3m, No. 221" pbc="T T T"
Ni 0.000 0.000 0.000
Pd 2.563 2.563 2.563
Br 0.000 2.563 2.563
Br 2.563 0.000 2.563
Br 2.563 2.563 0.000

***

No. 4
12
Lattice="5.752 0.000 0.000 0.000 3.568 0.000 -1.229 0.000 18.617" Properties=species:S:1:pos:R:3 comment="Tb7Y2Tm3, relaxed, DFT PBE-GGA" magnetic_moment_mub_per_cell=0.00 final_energy_ev_per_cell=-57.7 rho_g_cm3=7.81 crystal_system=monoclinic vol_a3_per_atom=31.8 sg="P2/m, No. 10" pbc="T T T"
Tb 0.000 0.000 0.000
Tb 0.815 1.784 3.352
Tb 0.825 1.784 9.977
Tb 0.804 0.000 15.957
Tb 3.719 0.000 2.660
Tb 3.697 1.784 8.640
Tb 3.707 1.784 15.265
Y 0.828 1.784 13.109
Y 3.695 1.784 5.508
Tm 0.808 0.000 6.870
Tm 2.876 1.784 0.000
Tm 3.714 0.000 11.746

***

No. 5
4
Lattice="0.000 3.114 3.114 3.114 0.000 3.114 3.114 3.114 0.000" Properties=species:S:1:pos:R:3 comment="TaSnF2, relaxed, DFT PBE-GGA" magnetic_moment_mub_per_cell=0.00 final_energy_ev_per_cell=-21.5 rho_g_cm3=9.29 crystal_system=cubic vol_a3_per_atom=15.1 sg="Fm-3m, No. 225" pbc="T T T"
Ta 0.000 0.000 0.000
Sn 3.114 3.114 3.114
F 1.557 1.557 1.557
F 4.671 4.671 4.671

***

No. 6
8
Lattice="2.403 1.387 7.804 -2.403 1.387 7.804 0.000 -2.774 7.804" Properties=species:S:1:pos:R:3 comment="Sc4HgRhAu2, relaxed, DFT PBE-GGA" magnetic_moment_mub_per_cell=0.00 final_energy_ev_per_cell=-45.5 rho_g_cm3=9.33 crystal_system=trigonal vol_a3_per_atom=19.5 sg="R-3m, No. 166" pbc="T T T"
Sc 0.000 0.000 2.753
Sc 0.000 0.000 8.653
Sc 0.000 0.000 14.758
Sc 0.000 0.000 20.659
Hg 0.000 0.000 11.706
Rh 0.000 0.000 0.000
Au 0.000 0.000 5.758
Au 0.000 0.000 17.653

***

No. 7
14
Lattice="3.698 -6.843 0.000 3.698 6.843 0.000 -2.476 0.000 9.783" Properties=species:S:1:pos:R:3 comment="PdPtBr5, relaxed, DFT PBE-GGA" magnetic_moment_mub_per_cell=0.00 final_energy_ev_per_cell=-42.6 rho_g_cm3=4.70 crystal_system=monoclinic vol_a3_per_atom=35.4 sg="C2/c, No. 15" pbc="T T T"
Pd 1.841 3.429 7.337
Pd 3.079 -3.429 2.446
Pt 1.849 3.422 0.000
Pt 0.611 -3.422 4.891
Br 1.026 5.096 8.962
Br 2.656 5.096 5.712
Br 3.079 3.433 2.446
Br 1.041 1.761 8.967
Br 2.641 1.761 5.707
Br 2.279 -1.761 4.076
Br 3.878 -1.761 0.815
Br 1.841 -3.433 7.337
Br 2.264 -5.096 4.070
Br 3.894 -5.096 0.821

***

No. 8
5
Lattice="4.484 0.000 0.000 0.000 4.484 0.000 0.000 0.000 3.590" Properties=species:S:1:pos:R:3 comment="MnRe2BCl, relaxed, DFT PBE-GGA" magnetic_moment_mub_per_cell=3.27 final_energy_ev_per_cell=-32.3 rho_g_cm3=10.89 crystal_system=tetragonal vol_a3_per_atom=14.4 sg="P4/mmm, No. 123" pbc="T T T"
Mn 0.000 0.000 0.000
Re 0.000 2.242 1.795
Re 2.242 0.000 1.795
B 2.242 2.242 0.000
Cl 2.242 2.242 1.795

***

No. 9
6
Lattice="0.000 3.872 3.872 3.872 0.000 3.872 3.872 3.872 0.000" Properties=species:S:1:pos:R:3 comment="TmThPt4, relaxed, DFT PBE-GGA" magnetic_moment_mub_per_cell=0.00 final_energy_ev_per_cell=-42.6 rho_g_cm3=16.90 crystal_system=cubic vol_a3_per_atom=19.3 sg="F-43m, No. 216" pbc="T T T"
Tm 0.000 0.000 0.000
Th 5.808 5.808 5.808
Pt 2.900 2.900 2.900
Pt 4.844 4.844 2.900
Pt 4.844 2.900 4.844
Pt 2.900 4.844 4.844

***

No. 10
5
Lattice="4.969 0.000 0.000 0.000 4.969 0.000 0.000 0.000 4.969" Properties=species:S:1:pos:R:3 comment="HfNbCl3, relaxed, DFT PBE-GGA" magnetic_moment_mub_per_cell=4.49 final_energy_ev_per_cell=-25.4 rho_g_cm3=5.11 crystal_system=cubic vol_a3_per_atom=24.5 sg="Pm-3m, No. 221" pbc="T T T"
Hf 0.000 0.000 0.000
Nb 2.485 2.485 2.485
Cl 0.000 0.000 2.485
Cl 0.000 2.485 0.000
Cl 2.485 0.000 0.000

***

No. 11
2
Lattice="3.370 0.000 0.000 1.682 2.944 0.000 1.630 0.727 4.131" Properties=species:S:1:pos:R:3 comment="SnO, relaxed, DFT PBE-GGA" magnetic_moment_mub_per_cell=0.00 final_energy_ev_per_cell=-10.9 rho_g_cm3=5.46 crystal_system=triclinic vol_a3_per_atom=20.5 sg="P1, No. 1" pbc="T T T"
Sn 0.000 0.000 0.000
O 3.315 1.709 3.089

***

No. 12
12
Lattice="7.625 0.000 0.000 0.000 4.087 0.000 0.000 0.000 7.123" Properties=species:S:1:pos:R:3 comment="LaZn4Cu, relaxed, DFT PBE-GGA" magnetic_moment_mub_per_cell=0.00 final_energy_ev_per_cell=-31.1 rho_g_cm3=6.94 crystal_system=orthorhombic vol_a3_per_atom=18.5 sg="Pmma, No. 51" pbc="T T T"
La 1.906 0.000 0.823
La 5.719 0.000 6.300
Zn 0.000 0.000 3.561
Zn 0.471 2.044 5.640
Zn 1.906 2.044 3.210
Zn 3.341 2.044 5.640
Zn 3.813 0.000 3.561
Zn 4.284 2.044 1.483
Zn 5.719 2.044 3.912
Zn 7.154 2.044 1.483
Cu 1.906 0.000 4.999
Cu 5.719 0.000 2.124

***

No. 13
13
Lattice="10.256 -3.876 0.000 10.256 3.876 0.000 -0.003 0.000 5.818" Properties=species:S:1:pos:R:3 comment="Pm3Nd8Ho2, relaxed, DFT PBE-GGA" magnetic_moment_mub_per_cell=0.00 final_energy_ev_per_cell=-58.8 rho_g_cm3=6.89 crystal_system=monoclinic vol_a3_per_atom=35.6 sg="C2/m, No. 12" pbc="T T T"
Pm 0.000 0.000 0.000
Pm 10.255 1.648 2.909
Pm 10.255 -1.648 2.909
Nd 2.755 0.000 2.906
Nd 8.048 1.610 5.817
Nd 6.678 0.000 2.904
Nd 12.462 1.610 0.001
Nd 8.048 -1.610 5.817
Nd 13.832 0.000 2.914
Nd 12.462 -1.610 0.001
Nd 17.755 0.000 2.912
Ho 4.942 0.000 5.812
Ho 15.568 0.000 0.006

***

No. 14
4
Lattice="4.488 0.000 0.000 0.000 4.510 0.000 0.000 0.000 4.631" Properties=species:S:1:pos:R:3 comment="SmMgAlIn, relaxed, DFT PBE-GGA" magnetic_moment_mub_per_cell=0.00 final_energy_ev_per_cell=-14.2 rho_g_cm3=5.61 crystal_system=orthorhombic vol_a3_per_atom=23.4 sg="Pmmm, No. 47" pbc="T T T"
Sm 0.000 0.000 0.000
Mg 0.000 2.255 2.316
Al 2.244 2.255 0.000
In 2.244 0.000 2.316

***

No. 15
4
Lattice="2.766 0.000 0.000 0.000 3.843 0.000 0.000 0.000 7.413" Properties=species:S:1:pos:R:3 comment="KSiIr2, relaxed, DFT PBE-GGA" magnetic_moment_mub_per_cell=0.00 final_energy_ev_per_cell=-23.3 rho_g_cm3=9.52 crystal_system=orthorhombic vol_a3_per_atom=19.7 sg="Pmm2, No. 25" pbc="T T T"
K 0.000 0.000 0.000
Si 1.383 1.922 2.600
Ir 0.000 0.000 3.452
Ir 1.383 1.922 4.957

***

No. 16
5
Lattice="4.713 0.000 0.000 0.000 4.713 0.000 0.000 0.000 5.558" Properties=species:S:1:pos:R:3 comment="Be2SnSbCl, relaxed, DFT PBE-GGA" magnetic_moment_mub_per_cell=0.00 final_energy_ev_per_cell=-13.8 rho_g_cm3=3.95 crystal_system=tetragonal vol_a3_per_atom=24.7 sg="P4/mmm, No. 123" pbc="T T T"
Be 0.000 2.356 0.000
Be 2.356 0.000 0.000
Sn 0.000 0.000 2.779
Sb 2.356 2.356 0.000
Cl 2.356 2.356 2.779

***

No. 17
8
Lattice="4.160 0.000 0.000 0.000 4.160 0.000 0.000 0.000 7.582" Properties=species:S:1:pos:R:3 comment="PmAl4Rh3, relaxed, DFT PBE-GGA" magnetic_moment_mub_per_cell=0.00 final_energy_ev_per_cell=-47.6 rho_g_cm3=7.11 crystal_system=tetragonal vol_a3_per_atom=16.4 sg="P4/mmm, No. 123" pbc="T T T"
Pm 0.000 0.000 0.000
Al 0.000 2.080 2.241
Al 0.000 2.080 5.341
Al 2.080 0.000 2.241
Al 2.080 0.000 5.341
Rh 0.000 0.000 3.791
Rh 2.080 2.080 0.000
Rh 2.080 2.080 3.791

***

No. 18
5
Lattice="3.997 0.000 0.000 0.000 3.997 0.000 0.000 0.000 3.997" Properties=species:S:1:pos:R:3 comment="Be3ReRh, relaxed, DFT PBE-GGA" magnetic_moment_mub_per_cell=1.89 final_energy_ev_per_cell=-27.0 rho_g_cm3=8.22 crystal_system=cubic vol_a3_per_atom=12.8 sg="Pm-3m, No. 221" pbc="T T T"
Be 0.000 0.000 1.998
Be 0.000 1.998 0.000
Be 1.998 0.000 0.000
Re 1.998 1.998 1.998
Rh 0.000 0.000 0.000

***

No. 19
16
Lattice="4.490 0.000 0.000 0.000 4.490 0.000 0.000 0.000 17.988" Properties=species:S:1:pos:R:3 comment="PuZr12In3, relaxed, DFT PBE-GGA" magnetic_moment_mub_per_cell=5.00 final_energy_ev_per_cell=-127.7 rho_g_cm3=7.71 crystal_system=tetragonal vol_a3_per_atom=22.7 sg="P4/mmm, No. 123" pbc="T T T"
Pu 0.000 0.000 0.000
Zr 0.000 2.245 2.255
Zr 0.000 2.245 6.777
Zr 0.000 2.245 11.210
Zr 0.000 2.245 15.732
Zr 2.245 0.000 2.255
Zr 2.245 0.000 6.777
Zr 2.245 0.000 11.210
Zr 2.245 0.000 15.732
Zr 2.245 2.245 0.000
Zr 2.245 2.245 4.530
Zr 2.245 2.245 8.994
Zr 2.245 2.245 13.457
In 0.000 0.000 4.515
In 0.000 0.000 8.994
In 0.000 0.000 13.472

***

No. 20
4
Lattice="3.240 0.000 0.000 0.000 4.391 0.000 -0.018 0.000 6.585" Properties=species:S:1:pos:R:3 comment="LiZnSb2, relaxed, DFT PBE-GGA" magnetic_moment_mub_per_cell=0.00 final_energy_ev_per_cell=-11.8 rho_g_cm3=5.60 crystal_system=monoclinic vol_a3_per_atom=23.4 sg="P2/m, No. 10" pbc="T T T"
Li 0.000 0.000 0.000
Zn 1.611 0.000 3.293
Sb 1.602 2.196 5.055
Sb 1.620 2.196 1.530

***

No. 21
4
Lattice="3.109 0.000 0.000 0.000 3.172 0.000 0.000 0.000 7.525" Properties=species:S:1:pos:R:3 comment="SrMnTc2, relaxed, DFT PBE-GGA" magnetic_moment_mub_per_cell=1.20 final_energy_ev_per_cell=-29.3 rho_g_cm3=7.58 crystal_system=orthorhombic vol_a3_per_atom=18.6 sg="Pmmm, No. 47" pbc="T T T"
Sr 0.000 0.000 0.000
Mn 0.000 0.000 3.763
Tc 1.555 1.586 2.522
Tc 1.555 1.586 5.003

***

No. 22
10
Lattice="6.307 0.000 0.000 0.000 5.698 0.000 -3.132 0.000 9.100" Properties=species:S:1:pos:R:3 comment="PrDy3Ho, relaxed, DFT PBE-GGA" magnetic_moment_mub_per_cell=0.00 final_energy_ev_per_cell=-46.2 rho_g_cm3=8.06 crystal_system=monoclinic vol_a3_per_atom=32.7 sg="P2_1/m, No. 11" pbc="T T T"
Pr -0.504 1.424 2.730
Pr 3.679 4.273 6.369
Dy 0.546 4.273 0.886
Dy -0.509 1.424 6.394
Dy 0.552 4.273 4.556
Dy 2.623 1.424 4.543
Dy 3.684 4.273 2.706
Dy 2.628 1.424 8.213
Ho 2.632 1.424 0.898
Ho 0.543 4.273 8.201

***

No. 23
7
Lattice="-2.117 2.117 7.300 2.117 -2.117 7.300 2.117 2.117 -7.300" Properties=species:S:1:pos:R:3 comment="Pr2HfS2N2, relaxed, DFT PBE-GGA" magnetic_moment_mub_per_cell=0.00 final_energy_ev_per_cell=-57.0 rho_g_cm3=7.01 crystal_system=tetragonal vol_a3_per_atom=18.7 sg="I4/mmm, No. 139" pbc="T T T"
Pr 0.000 0.000 1.731
Pr 0.000 0.000 12.870
Hf 0.000 0.000 7.300
S 0.000 0.000 4.698
S 0.000 0.000 9.903
N 2.117 0.000 0.000
N 0.000 2.117 0.000

***

No. 24
14
Lattice="-4.204 4.264 5.991 4.204 -4.264 5.991 4.204 4.264 -5.991" Properties=species:S:1:pos:R:3 comment="RbPuNpS4, relaxed, DFT PBE-GGA" magnetic_moment_mub_per_cell=16.00 final_energy_ev_per_cell=-109.2 rho_g_cm3=5.37 crystal_system=orthorhombic vol_a3_per_atom=30.7 sg="Imma, No. 74" pbc="T T T"
Rb 0.000 2.132 1.513
Rb 4.204 2.132 4.478
Pu 4.204 0.000 0.000
Pu 0.000 0.000 5.991
Np 2.102 2.132 -2.996
Np 2.102 -2.132 2.996
S 4.204 -0.407 2.754
S 4.204 3.857 -2.754
S 2.461 2.132 -0.308
S 5.947 2.132 -0.308
S -1.743 2.132 6.299
S 1.743 2.132 6.299
S 0.000 0.407 8.745
S 0.000 4.671 3.237

***

No. 25
12
Lattice="-3.619 7.083 3.753 3.619 -7.083 3.753 3.619 7.083 -3.753" Properties=species:S:1:pos:R:3 comment="Pm3SmAu2, relaxed, DFT PBE-GGA" magnetic_moment_mub_per_cell=0.00 final_energy_ev_per_cell=-55.9 rho_g_cm3=8.45 crystal_system=orthorhombic vol_a3_per_atom=32.1 sg="Ibam, No. 72" pbc="T T T"
Pm 3.619 -3.285 1.876
Pm 0.000 0.000 1.876
Pm 3.619 3.285 1.876
Pm 0.000 3.798 1.876
Pm 0.000 0.000 5.629
Pm 0.000 10.367 1.876
Sm 3.619 0.000 0.000
Sm 0.000 7.083 0.000
Au 1.471 2.003 0.000
Au 1.471 -2.003 3.753
Au 2.148 9.085 0.000
Au 2.148 5.080 3.753